Here is AcDyCoPd after structural relaxation from Alexandria via LeMat-Bulk. Energies are from PBE.

a = 5.072 Å, b = 5.072 Å, c = 5.072 Å
α = 60.00°, β = 60.00°, γ = 60.00°
Sites, in units of the cell vectors:
Ac (0.000, 0.000, 0.000)
Dy (0.500, 0.500, 0.500)
Co (0.250, 0.250, 0.250)
Pd (0.750, 0.750, 0.750)

Results
energy relative to the elements: -300 meV/atom
total moment: 0.43 μB/cell